This record from Alexandria via LeMat-Bulk describes a crystal of Cu2RePb relaxed with PBEsol. The functional is SCAN.

Computed properties:
Its space group is Immm, No. 71. For the energy above the most stable polymorph in this dataset, the calculation gives 104.9 meV per atom. For the energy of formation from the pure elements, the calculation gives 3.216 eV/f.u. The calculation puts the density of states at the Fermi level at 1.5 states/eV/f.u.

abc: 2.9967 4.5430 5.3653
angles: 115.05 106.22 90.00
Closest atoms and distances in Å follow each position.
Atoms (fractional coordinates):
Cu (0.7363, 0.7363, 0.4726)  2 Re 2.65, 4 Cu 2.73, 2 Pb 2.86
Cu (0.2637, 0.2637, 0.5274)  2 Re 2.65, 4 Cu 2.73, 2 Pb 2.86
Pb (0.5000, 0.0000, 0.0000)  4 Re 2.72, 4 Cu 2.86, 2 Pb 3.00
Re (0.0000, 0.5000, 0.0000)  4 Cu 2.65, 4 Pb 2.72